# 1
The following is a PBE-GGA calculation of RbBaMo2 after structural relaxation, from Alexandria via LeMat-Bulk.

Structure (CIF):
```
data_RbBaMo2
_cell_length_a 9.2990
_cell_length_b 9.2990
_cell_length_c 5.9003
_cell_angle_alpha 90.00
_cell_angle_beta 90.00
_cell_angle_gamma 90.00
_symmetry_space_group_name_H-M 'I -4 2 d'
_symmetry_Int_Tables_number 122
_symmetry_space_group_name_Hall 'I -4 2bw'
loop_
_atom_site_label
_atom_site_type_symbol
_atom_site_fract_x
_atom_site_fract_y
_atom_site_fract_z
_atom_site_occupancy
Rb1 Rb 0.0000 0.0000 0.0000 1
Ba1 Ba 0.0000 0.0000 0.5000 1
Mo1 Mo 0.2475 0.2500 0.6250 1
```

Calculated values
- Magnetic moment: 4.788 μB per formula unit
- Offset from the most stable computed form: 30 meV/atom
- VASP energy: -3.998 eV/atom
- ΔE_f: 826 kJ/mol of formula units

=====

# 2
The following is a PBE-GGA calculation of Rb2BaScMo after structural relaxation, from Alexandria via LeMat-Bulk.

Structure (CIF):
```
data_Rb2BaScMo
_cell_length_a 6.7111
_cell_length_b 6.7111
_cell_length_c 6.2953
_cell_angle_alpha 90.00
_cell_angle_beta 90.00
_cell_angle_gamma 90.00
_symmetry_space_group_name_H-M 'P 4/m m m'
_symmetry_Int_Tables_number 123
_symmetry_space_group_name_Hall '-P 4 2'
loop_
_atom_site_label
_atom_site_type_symbol
_atom_site_fract_x
_atom_site_fract_y
_atom_site_fract_z
_atom_site_occupancy
Rb1 Rb 0.0000 0.5000 0.0000 1
Ba1 Ba 0.0000 0.0000 0.5000 1
Sc1 Sc 0.5000 0.5000 0.5000 1
Mo1 Mo 0.0000 0.0000 0.0000 1
```

Calculated values
- Magnetic moment: 5.406 μB per formula unit
- VASP energy: -2.675 eV/atom
- ΔE_f: 738 kJ/mol of formula units

=====

# 3
The following is a PBE-GGA calculation of RbBaTlMo2 after structural relaxation, from Alexandria via LeMat-Bulk.

Structure (CIF):
```
data_RbBaTlMo2
_cell_length_a 5.3943
_cell_length_b 5.3943
_cell_length_c 6.3428
_cell_angle_alpha 90.00
_cell_angle_beta 90.00
_cell_angle_gamma 90.00
_symmetry_space_group_name_H-M 'P 4/m m m'
_symmetry_Int_Tables_number 123
_symmetry_space_group_name_Hall '-P 4 2'
loop_
_atom_site_label
_atom_site_type_symbol
_atom_site_fract_x
_atom_site_fract_y
_atom_site_fract_z
_atom_site_occupancy
Rb1 Rb 0.0000 0.0000 0.0000 1
Ba1 Ba 0.0000 0.0000 0.5000 1
Tl1 Tl 0.5000 0.5000 0.0000 1
Mo1 Mo 0.0000 0.5000 0.5000 1
```

Calculated values
- Magnetic moment: 5.542 μB per formula unit
- VASP energy: -3.178 eV/atom
- ΔE_f: 1064 kJ/mol of formula units

=====

# 4
The following is a PBE-GGA calculation of BaRe3Mo after structural relaxation, from Alexandria via LeMat-Bulk.

Structure (CIF):
```
data_BaRe3Mo
_cell_length_a 4.8558
_cell_length_b 4.8558
_cell_length_c 4.8558
_cell_angle_alpha 90.00
_cell_angle_beta 90.00
_cell_angle_gamma 90.00
_symmetry_space_group_name_H-M 'P m -3 m'
_symmetry_Int_Tables_number 221
_symmetry_space_group_name_Hall '-P 4 2 3'
loop_
_atom_site_label
_atom_site_type_symbol
_atom_site_fract_x
_atom_site_fract_y
_atom_site_fract_z
_atom_site_occupancy
Ba1 Ba 0.0000 0.0000 0.0000 1
Re1 Re 0.0000 0.0000 0.5000 1
Mo1 Mo 0.5000 0.5000 0.5000 1
```

Calculated values
- Magnetic moment: 0.000 μB per formula unit
- Offset from the most stable computed form: 2381 meV/atom
- VASP energy: -5.902 eV/atom
- ΔE_f: 1986 kJ/mol of formula units

=====

# 5
The following is a PBE-GGA calculation of BaReMo after structural relaxation, from Alexandria via LeMat-Bulk.

Structure (CIF):
```
data_BaReMo
_cell_length_a 3.3612
_cell_length_b 3.3612
_cell_length_c 7.6186
_cell_angle_alpha 90.00
_cell_angle_beta 90.00
_cell_angle_gamma 120.00
_symmetry_space_group_name_H-M 'P 3 m 1'
_symmetry_Int_Tables_number 156
_symmetry_space_group_name_Hall 'P 3 -2"'
loop_
_atom_site_label
_atom_site_type_symbol
_atom_site_fract_x
_atom_site_fract_y
_atom_site_fract_z
_atom_site_occupancy
Ba1 Ba 0.0000 0.0000 0.0000 1
Re1 Re 0.3333 0.6667 0.6101 1
Mo1 Mo 0.6667 0.3333 0.4124 1
```

Calculated values
- Magnetic moment: 0.000 μB per formula unit
- Offset from the most stable computed form: 311 meV/atom
- VASP energy: -7.335 eV/atom
- ΔE_f: 308 kJ/mol of formula units

=====

# 6
The following is a PBE-GGA calculation of BaReMo after structural relaxation, from Alexandria via LeMat-Bulk.

Structure (CIF):
```
data_BaReMo
_cell_length_a 3.3850
_cell_length_b 5.0423
_cell_length_c 15.5100
_cell_angle_alpha 90.00
_cell_angle_beta 90.00
_cell_angle_gamma 90.00
_symmetry_space_group_name_H-M 'F m m 2'
_symmetry_Int_Tables_number 42
_symmetry_space_group_name_Hall 'F 2 -2'
loop_
_atom_site_label
_atom_site_type_symbol
_atom_site_fract_x
_atom_site_fract_y
_atom_site_fract_z
_atom_site_occupancy
Ba1 Ba 0.0000 0.0000 0.0000 1
Re1 Re 0.0000 0.0000 0.6879 1
Mo1 Mo 0.0000 0.0000 0.3042 1
```

Calculated values
- Magnetic moment: 0.000 μB per formula unit
- Offset from the most stable computed form: 301 meV/atom
- VASP energy: -7.345 eV/atom
- ΔE_f: 305 kJ/mol of formula units